Record 1
A relaxed KBa crystal, computed with GGA-PBEsol. Values from VASP.

Quantum ESPRESSO input file:
```
&SYSTEM
  ibrav = 0, nat = 4, ntyp = 2
/
ATOMIC_SPECIES
K 39.10 K.upf
Ba 137.33 Ba.upf
CELL_PARAMETERS angstrom
6.686 0.000 0.000
-3.343 5.790 0.000
0.000 0.000 7.307
ATOMIC_POSITIONS crystal
K 0.000 0.000 0.000
K 0.000 0.000 0.500
Ba 0.333 0.667 0.250
Ba 0.667 0.333 0.750
```

Summary:
Calculated formation energy ... 0.40 eV/atom
Total energy ... -1.24 eV/atom

---

Record 2
A relaxed Mn2TlCr crystal, computed with GGA-PBEsol. Values from VASP.

Quantum ESPRESSO input file:
```
&SYSTEM
  ibrav = 0, nat = 4, ntyp = 3
/
ATOMIC_SPECIES
Mn 54.94 Mn.upf
Tl 204.38 Tl.upf
Cr 52.00 Cr.upf
CELL_PARAMETERS angstrom
1.471 0.850 8.102
-1.471 0.850 8.102
0.000 -1.699 8.102
ATOMIC_POSITIONS crystal
Mn 0.000 0.000 0.000
Mn 0.259 0.259 0.259
Tl 0.495 0.495 0.495
Cr 0.730 0.730 0.730
```

Summary:
Calculated formation energy ... 0.66 eV/atom
Total energy ... -7.43 eV/atom

---

Record 3
A relaxed NiIrRh crystal, computed with GGA-PBEsol. Values from VASP.

Quantum ESPRESSO input file:
```
&SYSTEM
  ibrav = 0, nat = 3, ntyp = 3
/
ATOMIC_SPECIES
Ni 58.69 Ni.upf
Ir 192.22 Ir.upf
Rh 102.91 Rh.upf
CELL_PARAMETERS angstrom
-1.335 1.831 3.900
1.335 -1.831 3.900
1.335 1.831 -3.900
ATOMIC_POSITIONS crystal
Ni 0.000 0.000 0.000
Ir 0.337 0.337 0.000
Rh 0.667 0.667 0.000
```

Summary:
Calculated formation energy ... 0.00 eV/atom
Total energy ... -8.04 eV/atom

---

Record 4
A relaxed Hf2CuNi2 crystal, computed with GGA-PBEsol. Values from VASP.

Quantum ESPRESSO input file:
```
&SYSTEM
  ibrav = 0, nat = 10, ntyp = 3
/
ATOMIC_SPECIES
Hf 178.49 Hf.upf
Cu 63.55 Cu.upf
Ni 58.69 Ni.upf
CELL_PARAMETERS angstrom
6.751 0.000 0.000
0.000 6.751 0.000
0.000 0.000 3.265
ATOMIC_POSITIONS crystal
Hf 0.175 0.325 0.000
Hf 0.325 0.825 0.000
Hf 0.675 0.175 0.000
Hf 0.825 0.675 0.000
Cu 0.000 0.000 0.500
Cu 0.500 0.500 0.500
Ni 0.126 0.626 0.500
Ni 0.374 0.126 0.500
Ni 0.626 0.874 0.500
Ni 0.874 0.374 0.500
```

Summary:
Calculated formation energy ... -0.39 eV/atom
Total energy ... -7.92 eV/atom

---

Record 5
A relaxed ScZn4Cr crystal, computed with GGA-PBEsol. Values from VASP.

Quantum ESPRESSO input file:
```
&SYSTEM
  ibrav = 0, nat = 6, ntyp = 3
/
ATOMIC_SPECIES
Sc 44.96 Sc.upf
Zn 65.41 Zn.upf
Cr 52.00 Cr.upf
CELL_PARAMETERS angstrom
0.000 3.537 3.537
3.537 0.000 3.537
3.537 3.537 0.000
ATOMIC_POSITIONS crystal
Sc 0.000 0.000 0.000
Zn 0.126 0.625 0.625
Zn 0.625 0.126 0.625
Zn 0.625 0.625 0.126
Zn 0.625 0.625 0.625
Cr 0.250 0.250 0.250
```

Summary:
Calculated formation energy ... -0.15 eV/atom
Total energy ... -4.01 eV/atom

---

Record 6
A relaxed SmBN2 crystal, computed with GGA-PBEsol. Values from VASP.

Quantum ESPRESSO input file:
```
&SYSTEM
  ibrav = 0, nat = 24, ntyp = 3
/
ATOMIC_SPECIES
Sm 150.36 Sm.upf
B 10.81 B.upf
N 14.01 N.upf
CELL_PARAMETERS angstrom
5.977 3.451 2.244
-5.977 3.451 2.244
0.000 -6.901 2.244
ATOMIC_POSITIONS crystal
Sm 0.204 0.750 0.296
Sm 0.250 0.704 0.796
Sm 0.296 0.204 0.750
Sm 0.704 0.796 0.250
Sm 0.750 0.296 0.204
Sm 0.796 0.250 0.704
B 0.129 0.250 0.371
B 0.250 0.371 0.129
B 0.371 0.129 0.250
B 0.629 0.871 0.750
B 0.750 0.629 0.871
B 0.871 0.750 0.629
N 0.006 0.250 0.494
N 0.126 0.374 0.250
N 0.250 0.126 0.374
N 0.250 0.494 0.006
N 0.374 0.250 0.126
N 0.494 0.006 0.250
N 0.506 0.994 0.750
N 0.626 0.750 0.874
N 0.750 0.506 0.994
N 0.750 0.874 0.626
N 0.874 0.626 0.750
N 0.994 0.750 0.506
```

Summary:
ΔE_f (raw) ... -148 kJ per mole of atoms
Total energy ... -8.82 eV/atom

---

Record 7
A relaxed RbLiZnS2 crystal, computed with GGA-PBEsol. Values from VASP.

Quantum ESPRESSO input file:
```
&SYSTEM
  ibrav = 0, nat = 5, ntyp = 4
/
ATOMIC_SPECIES
Rb 85.47 Rb.upf
Li 6.94 Li.upf
Zn 65.41 Zn.upf
S 32.06 S.upf
CELL_PARAMETERS angstrom
-1.975 1.975 6.715
1.975 -1.975 6.715
1.975 1.975 -6.715
ATOMIC_POSITIONS crystal
Rb 0.000 0.000 0.000
Li 0.750 0.250 0.500
Zn 0.250 0.750 0.500
S 0.349 0.349 0.000
S 0.651 0.651 0.000
```

Summary:
ΔE_f (raw) ... -111 kJ per mole of atoms
Total energy ... -3.82 eV/atom

---

Record 8
A relaxed AgPtPb2 crystal, computed with GGA-PBEsol. Values from VASP.

Quantum ESPRESSO input file:
```
&SYSTEM
  ibrav = 0, nat = 4, ntyp = 3
/
ATOMIC_SPECIES
Ag 107.87 Ag.upf
Pt 195.08 Pt.upf
Pb 207.20 Pb.upf
CELL_PARAMETERS angstrom
3.463 0.000 0.000
0.000 3.464 0.000
-0.035 0.000 7.196
ATOMIC_POSITIONS crystal
Ag 0.000 0.000 0.000
Pt 0.000 0.000 0.500
Pb 0.499 0.500 0.269
Pb 0.501 0.500 0.731
```

Summary:
Calculated formation energy ... 0.05 eV/atom
Total energy ... -4.52 eV/atom

---

Record 9
A relaxed BiB3Os crystal, computed with GGA-PBEsol. Values from VASP.

Quantum ESPRESSO input file:
```
&SYSTEM
  ibrav = 0, nat = 5, ntyp = 3
/
ATOMIC_SPECIES
Bi 208.98 Bi.upf
B 10.81 B.upf
Os 190.23 Os.upf
CELL_PARAMETERS angstrom
4.180 0.000 0.000
0.000 4.180 0.000
0.000 0.000 4.180
ATOMIC_POSITIONS crystal
Bi 0.000 0.000 0.000
B 0.000 0.500 0.500
B 0.500 0.000 0.500
B 0.500 0.500 0.000
Os 0.500 0.500 0.500
```

Summary:
Calculated formation energy ... 1.14 eV/atom
Total energy ... -6.37 eV/atom

---

Record 10
A relaxed ScAsPb2 crystal, computed with GGA-PBEsol. Values from VASP.

Quantum ESPRESSO input file:
```
&SYSTEM
  ibrav = 0, nat = 4, ntyp = 3
/
ATOMIC_SPECIES
Sc 44.96 Sc.upf
As 74.92 As.upf
Pb 207.20 Pb.upf
CELL_PARAMETERS angstrom
0.000 3.131 5.374
2.967 0.000 5.374
2.967 3.131 0.000
ATOMIC_POSITIONS crystal
Sc 0.000 0.000 0.000
As 0.500 0.500 0.500
Pb 0.000 0.500 0.500
Pb 0.500 0.000 0.000
```

Summary:
Calculated formation energy ... -0.23 eV/atom
Total energy ... -5.15 eV/atom

---

Record 11
A relaxed LiCaTa crystal, computed with GGA-PBEsol. Values from VASP.

Quantum ESPRESSO input file:
```
&SYSTEM
  ibrav = 0, nat = 3, ntyp = 3
/
ATOMIC_SPECIES
Li 6.94 Li.upf
Ca 40.08 Ca.upf
Ta 180.95 Ta.upf
CELL_PARAMETERS angstrom
0.000 3.543 3.543
3.543 0.000 3.543
3.543 3.543 0.000
ATOMIC_POSITIONS crystal
Li 0.000 0.000 0.000
Ca 0.500 0.500 0.500
Ta 0.750 0.750 0.750
```

Summary:
Calculated formation energy ... 1.76 eV/atom
Total energy ... -3.79 eV/atom

---

Record 12
A relaxed TiTcSnN2 crystal, computed with GGA-PBEsol. Values from VASP.

Quantum ESPRESSO input file:
```
&SYSTEM
  ibrav = 0, nat = 5, ntyp = 4
/
ATOMIC_SPECIES
Ti 47.87 Ti.upf
Tc 98.00 Tc.upf
Sn 118.71 Sn.upf
N 14.01 N.upf
CELL_PARAMETERS angstrom
3.860 0.000 0.000
0.000 3.860 0.000
0.000 0.000 5.124
ATOMIC_POSITIONS crystal
Ti 0.000 0.000 0.000
Tc 0.000 0.000 0.500
Sn 0.500 0.500 0.000
N 0.000 0.500 0.500
N 0.500 0.000 0.500
```

Summary:
ΔE_f (raw) ... 47 kJ per mole of atoms
Total energy ... -7.70 eV/atom

---

Q: Number 4 is which compound?
A: Hf2CuNi2

---

Q: What is the total energy in the eighth record?
A: -4.52 eV/atom

---

Q: Which formula does entry 1 have?
A: KBa

---

Q: Which value of total energy does entry 10 give?
A: -5.15 eV/atom